No. 1
Here is TiNb2Ge4 after structural relaxation from Alexandria via LeMat-Bulk. Energies are from PBE-GGA.

Lattice parameters (Å, degrees): 4.797 4.797 7.348 70.95 70.95 90.00
Element x y z (fractional)
Ge: 0.195 0.195 0.610
Ge: 0.000 0.500 0.000
Ti: 0.000 0.000 0.000
Nb: 0.600 0.600 0.800
Nb: 0.400 0.400 0.200
Ge: 0.500 0.000 0.000
Ge: 0.805 0.805 0.390

Results
- ΔH_f (0 K) (meV per atom) = 329
- SG = I4/mmm, No. 139

***

No. 2
Here is MnV2Ru after structural relaxation from Alexandria via LeMat-Bulk. Energies are from PBE-GGA.

Lattice parameters (Å, degrees): 2.930 2.930 5.934 90.00 90.00 90.00
Element x y z (fractional)
Mn: 0.500 0.500 0.000
Ru: 0.500 0.500 0.500
V: 0.000 0.000 0.767
V: 0.000 0.000 0.233

Results
- ΔH_f (0 K) (meV per atom) = -279
- SG = P4/mmm, No. 123

***

No. 3
Here is ZnCd2Se after structural relaxation from Alexandria via LeMat-Bulk. Energies are from PBE-GGA.

Lattice parameters (Å, degrees): 3.640 3.640 7.566 90.00 90.00 90.00
Element x y z (fractional)
Cd: 0.000 0.000 0.017
Cd: 0.500 0.500 0.233
Zn: 0.500 0.500 0.592
Se: 0.000 0.000 0.657

Results
- relative energy among the computed polymorphs (eV per atom) = 0.069
- SG = P4mm, No. 99

***

No. 4
Here is Lu2ScZn after structural relaxation from Alexandria via LeMat-Bulk. Energies are from PBE-GGA.

Lattice parameters (Å, degrees): 5.132 5.132 5.132 60.00 60.00 60.00
Element x y z (fractional)
Lu: 0.250 0.250 0.250
Sc: 0.500 0.500 0.500
Zn: 0.000 0.000 0.000
Lu: 0.750 0.750 0.750

Results
- relative energy among the computed polymorphs (eV per atom) = 0.166
- ΔH_f (0 K) (meV per atom) = 12
- SG = Fm-3m, No. 225

***

No. 5
Here is Ca5CdAu2 after structural relaxation from Alexandria via LeMat-Bulk. Energies are from PBE-GGA.

Lattice parameters (Å, degrees): 8.094 8.094 9.241 115.97 115.97 90.00
Element x y z (fractional)
Ca: 0.476 0.305 0.280
Ca: 0.695 0.195 0.720
Cd: 0.250 0.250 0.500
Au: 0.632 0.132 0.000
Au: 0.132 0.368 0.000
Ca: 0.500 0.500 0.000
Cd: 0.750 0.750 0.500
Au: 0.868 0.632 0.000
Ca: 0.195 0.024 0.720
Au: 0.368 0.868 0.000
Ca: 0.805 0.976 0.280
Ca: 0.305 0.805 0.280
Ca: 0.024 0.524 0.720
Ca: 0.976 0.476 0.280
Ca: 0.524 0.695 0.720
Ca: 0.000 0.000 0.000

Results
- ΔH_f (0 K) (meV per atom) = -573
- SG = I4/mcm, No. 140

***

No. 6
Here is Ba2PtIO6 after structural relaxation from Alexandria via LeMat-Bulk. Energies are from PBE-GGA.

Lattice parameters (Å, degrees): 5.963 5.963 5.981 60.14 60.14 90.09
Element x y z (fractional)
Ba: 0.250 0.750 0.500
Ba: 0.750 0.250 0.500
O: 0.254 0.254 0.492
O: 0.747 0.253 0.000
O: 0.253 0.747 0.000
I: 0.500 0.500 0.000
Pt: 0.000 0.000 0.000
O: 0.253 0.253 0.000
O: 0.747 0.747 0.000
O: 0.746 0.746 0.508

Results
- final energy (eV for the cell shown) = -54.50
- SG = Fmmm, No. 69

***

No. 7
Here is InSbO3 after structural relaxation from Alexandria via LeMat-Bulk. Energies are from PBE-GGA.

Lattice parameters (Å, degrees): 4.067 4.067 4.067 90.00 90.00 90.00
Element x y z (fractional)
O: 0.000 0.500 0.000
O: 0.000 0.000 0.500
Sb: 0.000 0.000 0.000
O: 0.500 0.000 0.000
In: 0.500 0.500 0.500

Results
- final energy (eV for the cell shown) = -26.70
- SG = Pm-3m, No. 221

***

No. 8
Here is ErTl4Bi3S8 after structural relaxation from Alexandria via LeMat-Bulk. Energies are from PBE-GGA.

Lattice parameters (Å, degrees): 8.231 8.843 8.231 117.75 120.00 90.00
Element x y z (fractional)
Tl: 0.500 0.000 0.000
Bi: 0.500 0.500 0.000
S: 0.255 0.296 0.026
S: 0.770 0.296 0.541
Tl: 0.000 0.000 0.000
S: 0.770 0.296 0.026
Tl: 0.500 0.000 0.500
Er: 0.000 0.500 0.000
S: 0.737 0.712 0.475
S: 0.230 0.704 0.974
S: 0.230 0.704 0.459
Tl: 0.000 0.000 0.500
S: 0.745 0.704 0.974
Bi: 0.000 0.500 0.500
Bi: 0.500 0.500 0.500
S: 0.263 0.288 0.525

Results
- final energy (eV for the cell shown) = -69.67
- SG = R-3m, No. 166

***

No. 9
Here is Ba2Co2Br after structural relaxation from Alexandria via LeMat-Bulk. Energies are from PBE-GGA.

Lattice parameters (Å, degrees): 3.689 3.689 10.176 79.56 79.56 90.00
Each line ends with the local moment (μB).
Element x y z (fractional)
Ba: 0.378 0.378 0.243  -0.08
Ba: 0.622 0.622 0.757  -0.08
Co: 0.250 0.750 0.500  1.61
Co: 0.750 0.250 0.500  1.61
Br: 0.000 0.000 0.000  -0.01

Results
- relative energy among the computed polymorphs (eV per atom) = 0.000
- SG = I4/mmm, No. 139

***

No. 10
Here is In4ReSe after structural relaxation from Alexandria via LeMat-Bulk. Energies are from PBE-GGA.

Lattice parameters (Å, degrees): 5.875 5.875 5.875 60.00 60.00 60.00
Each line ends with the local moment (μB).
Element x y z (fractional)
In: 0.375 0.375 0.375  -0.02
Re: 0.750 0.750 0.750  2.43
Se: 0.000 0.000 0.000  0.10
In: 0.375 0.375 0.874  -0.02
In: 0.375 0.874 0.375  -0.02
In: 0.874 0.375 0.375  -0.02

Results
- final energy (eV for the cell shown) = -21.27
- SG = F-43m, No. 216

***

No. 11
Here is MgTcIr2 after structural relaxation from Alexandria via LeMat-Bulk. Energies are from PBE-GGA.

Lattice parameters (Å, degrees): 4.709 4.709 4.709 130.01 130.01 73.39
Each line ends with the local moment (μB).
Element x y z (fractional)
Ir: 0.500 0.500 0.000  0.10
Ir: 0.000 0.000 0.000  0.10
Mg: 0.250 0.750 0.500  0.00
Tc: 0.750 0.250 0.500  1.09

Results
- ΔH_f (0 K) (meV per atom) = -89
- SG = I4/mmm, No. 139

***

No. 12
Here is Tc2TeS after structural relaxation from Alexandria via LeMat-Bulk. Energies are from PBE-GGA.

Lattice parameters (Å, degrees): 4.473 4.473 4.473 60.00 60.00 60.00
Element x y z (fractional)
Tc: 0.750 0.750 0.750
Tc: 0.250 0.250 0.250
Te: 0.500 0.500 0.500
S: 0.000 0.000 0.000

Results
- relative energy among the computed polymorphs (eV per atom) = 0.083
- SG = Fm-3m, No. 225

***

No. 13
Here is NdGdAlRh after structural relaxation from Alexandria via LeMat-Bulk. Energies are from PBE-GGA.

Lattice parameters (Å, degrees): 5.098 5.098 5.098 60.00 60.00 60.00
Each line ends with the local moment (μB).
Element x y z (fractional)
Gd: 0.750 0.750 0.750  7.00
Al: 0.000 0.000 0.000  0.00
Nd: 0.250 0.250 0.250  -0.01
Rh: 0.500 0.500 0.500  -0.03

Results
- ΔH_f (0 K) (meV per atom) = -455
- SG = F-43m, No. 216

***

No. 14
Here is TbSm5Hg4 after structural relaxation from Alexandria via LeMat-Bulk. Energies are from PBE-GGA.

Lattice parameters (Å, degrees): 3.750 3.750 20.292 90.00 90.00 90.00
Each line ends with the local moment (μB).
Element x y z (fractional)
Hg: 0.000 0.000 0.213  0.01
Hg: 0.000 0.000 0.595  0.02
Sm: 0.500 0.500 0.880  0.03
Sm: 0.500 0.500 0.311  0.18
Hg: 0.000 0.000 0.405  0.02
Sm: 0.500 0.500 0.500  0.20
Sm: 0.500 0.500 0.689  0.18
Sm: 0.500 0.500 0.120  0.03
Tb: 0.000 0.000 0.000  0.01
Hg: 0.000 0.000 0.787  0.01

Results
- ΔH_f (0 K) (meV per atom) = -365
- SG = P4/mmm, No. 123

***

No. 15
Here is CaTcAu2 after structural relaxation from Alexandria via LeMat-Bulk. Energies are from PBE-GGA.

Lattice parameters (Å, degrees): 4.892 4.892 5.980 82.81 82.81 33.50
Element x y z (fractional)
Tc: 0.750 0.750 0.750
Au: 0.008 0.008 0.963
Ca: 0.250 0.250 0.250
Au: 0.492 0.492 0.537

Results
- relative energy among the computed polymorphs (eV per atom) = 0.172
- ΔH_f (0 K) (meV per atom) = 191
- SG = C2/m, No. 12

***

No. 16
Here is Cu2HgW after structural relaxation from Alexandria via LeMat-Bulk. Energies are from PBE-GGA.

Lattice parameters (Å, degrees): 2.753 4.716 4.716 90.00 90.00 90.00
Element x y z (fractional)
Hg: 0.500 0.500 0.000
Cu: 0.000 0.000 0.000
W: 0.500 0.000 0.500
Cu: 0.000 0.500 0.500

Results
- ΔH_f (0 K) (meV per atom) = 582
- SG = P4/mmm, No. 123

***

No. 17
Here is Ba6SiS2Br3 after structural relaxation from Alexandria via LeMat-Bulk. Energies are from PBE-GGA.

Lattice parameters (Å, degrees): 8.099 8.099 8.355 99.28 99.28 120.01
Element x y z (fractional)
Br: 0.834 0.166 0.500
Ba: 0.072 0.406 0.218
Ba: 0.406 0.072 0.218
Ba: 0.739 0.739 0.218
Ba: 0.928 0.594 0.782
Ba: 0.261 0.261 0.782
Br: 0.500 0.500 0.500
Br: 0.166 0.834 0.500
S: 0.667 0.333 0.000
S: 0.333 0.667 0.000
Ba: 0.594 0.928 0.782
Si: 0.000 0.000 0.000

Results
- final energy (eV for the cell shown) = -49.79
- SG = C2/m, No. 12

***

No. 18
Here is Dy2Ga8Cu after structural relaxation from Alexandria via LeMat-Bulk. Energies are from PBE-GGA.

Lattice parameters (Å, degrees): 4.312 4.312 11.104 90.00 90.00 90.00
Element x y z (fractional)
Ga: 0.500 0.000 0.123
Dy: 0.000 0.000 0.308
Ga: 0.500 0.500 0.697
Ga: 0.500 0.000 0.877
Cu: 0.000 0.000 0.000
Dy: 0.000 0.000 0.692
Ga: 0.000 0.500 0.123
Ga: 0.500 0.000 0.500
Ga: 0.000 0.500 0.500
Ga: 0.500 0.500 0.303
Ga: 0.000 0.500 0.877

Results
- ΔH_f (0 K) (meV per atom) = -410
- SG = P4/mmm, No. 123

***

No. 19
Here is MgO after structural relaxation from Alexandria via LeMat-Bulk. Energies are from PBE-GGA.

Lattice parameters (Å, degrees): 3.001 3.001 29.811 90.00 90.00 120.00
Element x y z (fractional)
O: 0.000 0.000 0.624
O: 0.667 0.333 0.541
Mg: 0.000 0.000 0.000
O: 0.333 0.667 0.706
O: 0.667 0.333 0.294
O: 0.000 0.000 0.876
Mg: 0.333 0.667 0.917
Mg: 0.333 0.667 0.165
Mg: 0.667 0.333 0.417
O: 0.333 0.667 0.041
Mg: 0.000 0.000 0.500
O: 0.333 0.667 0.794
Mg: 0.000 0.000 0.750
O: 0.667 0.333 0.959
O: 0.333 0.667 0.459
Mg: 0.667 0.333 0.835
O: 0.000 0.000 0.376
Mg: 0.000 0.000 0.250
Mg: 0.667 0.333 0.083
Mg: 0.667 0.333 0.665
Mg: 0.333 0.667 0.335
O: 0.667 0.333 0.206
Mg: 0.333 0.667 0.583
O: 0.000 0.000 0.124

Results
- final energy (eV for the cell shown) = -142.66
- SG = P6_3/mmc, No. 194

***

No. 20
Here is Ac4LaTb3 after structural relaxation from Alexandria via LeMat-Bulk. Energies are from PBE-GGA.

Lattice parameters (Å, degrees): 6.549 6.602 8.538 105.05 104.75 109.50
Element x y z (fractional)
Tb: 0.618 0.118 0.235
Ac: 0.877 0.378 0.755
La: 0.000 0.000 0.000
Ac: 0.251 0.251 0.502
Tb: 0.382 0.882 0.765
Tb: 0.500 0.500 0.000
Ac: 0.123 0.622 0.245
Ac: 0.749 0.749 0.498

Results
- ΔH_f (0 K) (meV per atom) = 54
- SG = P-1, No. 2

***

No. 21
Here is RbHo2Cu2Se4 after structural relaxation from Alexandria via LeMat-Bulk. Energies are from PBE-GGA.

Lattice parameters (Å, degrees): 3.788 9.466 9.283 130.31 90.00 101.54
Element x y z (fractional)
Cu: 0.689 0.377 0.966
Se: 0.509 0.018 0.696
Se: 0.491 0.982 0.304
Cu: 0.311 0.623 0.034
Se: 0.766 0.532 0.809
Rb: 0.000 0.000 0.000
Ho: 0.886 0.773 0.369
Ho: 0.114 0.227 0.631
Se: 0.234 0.468 0.191

Results
- final energy (eV for the cell shown) = -41.95
- SG = C2/m, No. 12

***

No. 22
Here is CsNpAuO6 after structural relaxation from Alexandria via LeMat-Bulk. Energies are from PBE-GGA.

Lattice parameters (Å, degrees): 7.354 7.991 7.710 121.21 118.48 90.00
Each line ends with the local moment (μB).
Element x y z (fractional)
Np: 0.500 0.500 0.000  0.01
O: 0.826 0.076 0.652  0.06
Cs: 0.889 0.639 0.777  0.00
O: 0.190 0.948 0.769  0.00
O: 0.174 0.924 0.348  0.06
O: 0.433 0.683 0.866  0.00
O: 0.579 0.948 0.769  0.00
Np: 0.500 0.000 0.000  0.01
O: 0.810 0.052 0.231  0.00
O: 0.190 0.321 0.769  0.00
O: 0.567 0.317 0.134  0.00
Au: 0.500 0.000 0.500  0.03
Au: 0.000 0.000 0.500  0.03
Cs: 0.111 0.361 0.223  0.00
O: 0.421 0.679 0.231  0.00
O: 0.810 0.679 0.231  0.00
O: 0.579 0.321 0.769  0.00
O: 0.421 0.052 0.231  0.00

Results
- final energy (eV for the cell shown) = -120.81
- SG = Imma, No. 74

***

No. 23
Here is Dy2Ga4CoCu3 after structural relaxation from Alexandria via LeMat-Bulk. Energies are from PBE-GGA.

Lattice parameters (Å, degrees): 4.021 4.021 10.460 90.00 90.00 90.00
Each line ends with the local moment (μB).
Element x y z (fractional)
Ga: 0.000 0.500 0.371  -0.02
Ga: 0.500 0.500 0.000  0.00
Dy: 0.000 0.500 0.745  -0.01
Cu: 0.500 0.000 0.859  0.00
Ga: 0.500 0.000 0.629  -0.02
Cu: 0.000 0.500 0.141  0.00
Dy: 0.500 0.000 0.255  -0.01
Co: 0.500 0.500 0.500  0.64
Cu: 0.000 0.000 0.500  0.02
Ga: 0.000 0.000 0.000  0.00

Results
- ΔH_f (0 K) (meV per atom) = -416
- SG = P-4m2, No. 115

***

No. 24
Here is BaCaTcN3 after structural relaxation from Alexandria via LeMat-Bulk. Energies are from PBE-GGA.

Lattice parameters (Å, degrees): 3.967 6.979 7.682 105.31 90.00 106.51
Element x y z (fractional)
N: 0.502 0.004 0.313
Ba: 0.359 0.718 0.926
N: 0.850 0.700 0.657
Ca: 0.659 0.319 0.578
Tc: 0.999 0.998 0.682
N: 0.498 0.996 0.687
Tc: 0.001 0.002 0.318
N: 0.143 0.286 0.808
N: 0.857 0.714 0.192
Ca: 0.341 0.681 0.422
N: 0.150 0.300 0.343
Ba: 0.641 0.282 0.074

Results
- final energy (eV for the cell shown) = -84.36
- SG = C2/m, No. 12

***

no.,spin magnetization (μB/cell)
1,0.001
2,0.000
3,0.000
4,0.001
5,0.000
6,0.000
7,0.000
8,0.000
9,2.864
10,2.761
11,1.415
12,0.000
13,7.084
14,1.228
15,0.050
16,0.000
17,0.000
18,0.000
19,0.000
20,0.000
21,0.000
22,0.245
23,0.584
24,0.000